(1)
BaMgCoRh2: optimized geometry, PBE-GGA.

Computed properties:
Density of states at the Fermi level ... 3.8 states/eV/f.u.
Energy of formation ... 1.6100 eV per atom
SG ... P4/mmm (123)
VASP energy ... -3.46 eV/atom
Total moment ... 1.3 μB per cell

abc: 5.100 4.898 5.100
angles: 90.00 90.00 90.00
Element x y z (fractional)
Mg  0.500  0.500  0.500
Rh  0.000  0.000  0.500
Rh  0.500  0.000  0.000
Ba  0.000  0.000  0.000
Co  0.000  0.500  0.000

---

(2)
Na2TmSbS4: optimized geometry, PBE-GGA.

Computed properties:
Density of states at the Fermi level ... 0.0 states/eV/f.u.
SG ... P2/m (10)
E_form (uncorrected) ... -1253 meV/atom
VASP energy ... -4.72 eV/atom
Total moment ... 0.0 μB per cell

abc: 3.956 6.907 7.064
angles: 108.81 90.00 90.00
Element x y z (fractional)
S  0.000  0.262  0.776
S  0.500  0.751  0.772
S  0.000  0.738  0.224
S  0.500  0.249  0.228
Tm  0.500  0.500  0.000
Na  0.000  0.500  0.500
Na  0.500  0.000  0.500
Sb  0.000  0.000  0.000

---

(3)
CsTe2W: optimized geometry, PBE-GGA.

Computed properties:
Density of states at the Fermi level ... 4.6 states/eV/f.u.
SG ... I-42d (122)
E_form (uncorrected) ... 85 meV/atom
VASP energy ... -4.94 eV/atom
Total moment ... 1.2 μB per cell

abc: 8.330 8.330 7.623
angles: 56.88 56.88 90.00
Element x y z (fractional)
W  0.000  0.000  0.000
W  0.750  0.250  0.500
Te  0.752  0.125  0.250
Te  0.998  0.625  0.250
Te  0.875  0.002  0.750
Te  0.375  0.248  0.750
Cs  0.500  0.500  0.000
Cs  0.250  0.750  0.500

---

(4)
Tl6CdHg8: optimized geometry, PBE-GGA.

Computed properties:
Density of states at the Fermi level ... 6.6 states/eV/f.u.
Energy of formation ... 0.0180 eV per atom
SG ... P-3 (147)
VASP energy ... -1.15 eV/atom
Total moment ... 0.0 μB per cell

abc: 5.406 9.661 9.661
angles: 120.00 90.00 90.00
Element x y z (fractional)
Hg  0.798  0.774  0.048
Hg  0.202  0.726  0.774
Hg  0.798  0.274  0.226
Hg  0.209  0.333  0.667
Hg  0.798  0.952  0.726
Hg  0.202  0.226  0.952
Hg  0.791  0.667  0.333
Hg  0.202  0.048  0.274
Tl  0.715  0.106  0.464
Tl  0.285  0.641  0.106
Tl  0.285  0.894  0.536
Tl  0.715  0.359  0.894
Tl  0.285  0.464  0.359
Tl  0.715  0.536  0.641
Cd  0.500  0.000  0.000

---

(5)
Li2TaHgSb: optimized geometry, PBE-GGA.

Computed properties:
Density of states at the Fermi level ... 3.1 states/eV/f.u.
SG ... P4/mmm (123)
E_form (uncorrected) ... 482 meV/atom
VASP energy ... -3.54 eV/atom
Total moment ... 0.0 μB per cell

abc: 4.771 5.294 4.771
angles: 90.00 90.00 90.00
Element x y z (fractional)
Sb  0.000  0.000  0.000
Hg  0.500  0.500  0.500
Li  0.500  0.000  0.000
Li  0.000  0.000  0.500
Ta  0.000  0.500  0.000

---

(6)
LaDy2Rh: optimized geometry, PBE-GGA.

Computed properties:
Density of states at the Fermi level ... 4.7 states/eV/f.u.
Energy of formation ... -0.4183 eV per atom
SG ... P4/mmm (123)
VASP energy ... -5.79 eV/atom
Total moment ... 0.0 μB per cell

abc: 3.508 3.508 8.912
angles: 90.00 90.00 90.00
Element x y z (fractional)
Dy  0.000  0.000  0.818
Dy  0.000  0.000  0.182
Rh  0.500  0.500  0.000
La  0.500  0.500  0.500